First-principles (PBE) data for a relaxed structure of SrW2Au, as listed in Alexandria via LeMat-Bulk.

Results
Total magnetic moment in μB per atom: 0.000
Crystal system: tetragonal
Energy of formation in eV/atom: 0.680
E above lowest polymorph in meV/atom: 255

a = 2.8210 Å, b = 2.8210 Å, c = 9.7470 Å
α = 90.00°, β = 90.00°, γ = 90.00°
Last column: nearest neighbours and their distance in Å.
Atoms (fractional coordinates):
Sr (0.0000, 0.0000, 0.0000)  4 Sr 2.82
W (0.0000, 0.0000, 0.5137)  8 W 2.82-2.98, 4 Au 2.89
W (0.5000, 0.5000, 0.2864)  8 W 2.82-2.98
Au (0.5000, 0.5000, 0.7280)  4 Au 2.82, 4 W 2.89

First-principles (PBE) data for a relaxed structure of SrW2Au, as listed in Alexandria via LeMat-Bulk.

Results
Total magnetic moment in μB per atom: 0.000
Crystal system: monoclinic
Energy of formation in eV/atom: 0.916
E above lowest polymorph in meV/atom: 490

a = 5.6814 Å, b = 10.8233 Å, c = 2.7982 Å
α = 90.00°, β = 112.70°, γ = 90.00°
Last column: nearest neighbours and their distance in Å.
Atoms (fractional coordinates):
Sr (0.0000, 0.0000, 0.0000)  2 Sr 2.80, 4 Au 2.84-3.12, 4 W 3.12
Sr (0.5000, 0.5000, 0.0000)  2 Sr 2.80, 4 Au 2.84-3.12, 4 W 3.12
W (0.2500, 0.2500, 0.5000)  6 W 2.80-3.12, 2 Sr 3.12, 2 Au 3.12
W (0.2500, 0.7500, 0.5000)  6 W 2.80-3.12, 2 Sr 3.12, 2 Au 3.12
W (0.7500, 0.2500, 0.5000)  6 W 2.80-3.12, 2 Sr 3.12, 2 Au 3.12
W (0.7500, 0.7500, 0.5000)  6 W 2.80-3.12, 2 Sr 3.12, 2 Au 3.12
Au (0.0000, 0.5000, 0.0000)  2 Au 2.80, 4 Sr 2.84-3.12, 4 W 3.12
Au (0.5000, 0.0000, 0.0000)  2 Au 2.80, 4 Sr 2.84-3.12, 4 W 3.12

First-principles (PBE) data for a relaxed structure of SrW2Au, as listed in Alexandria via LeMat-Bulk.

Results
Total magnetic moment in μB per atom: 0.000
Crystal system: monoclinic
Energy of formation in eV/atom: 0.709
E above lowest polymorph in meV/atom: 283

a = 12.5241 Å, b = 2.8221 Å, c = 5.0506 Å
α = 90.00°, β = 113.66°, γ = 90.00°
Last column: nearest neighbours and their distance in Å.
Atoms (fractional coordinates):
Sr (0.0000, 0.0000, 0.0000)  2 Sr 2.82, 4 Au 2.89
Sr (0.5000, 0.5000, 0.0000)  2 Sr 2.82, 4 Au 2.89
W (0.2180, 0.0000, 0.7181)  6 W 2.82-2.99, 2 Au 2.87
W (0.2820, 0.5000, 0.2819)  6 W 2.82-2.99, 2 Au 2.87
W (0.7180, 0.5000, 0.7181)  6 W 2.82-2.99, 2 Au 2.87
W (0.7820, 0.0000, 0.2819)  6 W 2.82-2.99, 2 Au 2.87
Au (0.0000, 0.5000, 0.5000)  2 Au 2.82, 4 W 2.87, 4 Sr 2.89
Au (0.5000, 0.0000, 0.5000)  2 Au 2.82, 4 W 2.87, 4 Sr 2.89